Record 1
Below is an optimized crystal structure of YAl3Re, with properties calculated at the PBE level.

Summary:
Density   4619 kg/m3
Raw total energy   -3.719 eV per atom
Magnetic moment   0.00 μB/atom
N(E_F)   28.45 states/eV per cell
Formation energy   2.31 eV/atom

Cell and atoms, written as CIF:
```
data_YAl3Re
_cell_length_a 5.040
_cell_length_b 5.040
_cell_length_c 5.040
_cell_angle_alpha 90.00
_cell_angle_beta 90.00
_cell_angle_gamma 90.00
_space_group_name_H-M_alt 'P m -3 m'
_space_group_IT_number 221
_space_group_name_Hall '-P 4 2 3'
loop_
_atom_site_label
_atom_site_type_symbol
_atom_site_fract_x
_atom_site_fract_y
_atom_site_fract_z
Y1 Y 0.000 0.000 0.000
Al1 Al 0.000 0.000 0.500
Re1 Re 0.500 0.500 0.500
```



Record 2
Below is an optimized crystal structure of YAl2Re, with properties calculated at the PBE level.

Summary:
Density   7459 kg/m3
Raw total energy   -6.497 eV per atom
Magnetic moment   0.00 μB/atom
N(E_F)   6.62 states/eV per cell
Formation energy   0.10 eV/atom

Cell and atoms, written as CIF:
```
data_YAl2Re
_cell_length_a 9.972
_cell_length_b 2.955
_cell_length_c 5.124
_cell_angle_alpha 90.00
_cell_angle_beta 103.99
_cell_angle_gamma 90.00
_space_group_name_H-M_alt 'C 1 m 1'
_space_group_IT_number 8
_space_group_name_Hall 'C -2y'
loop_
_atom_site_label
_atom_site_type_symbol
_atom_site_fract_x
_atom_site_fract_y
_atom_site_fract_z
Y1 Y 0.000 0.000 0.000
Al1 Al 0.225 0.000 0.698
Al2 Al 0.479 0.000 0.490
Re1 Re 0.261 0.500 0.266
```



Record 3
Below is an optimized crystal structure of YAl2Re, with properties calculated at the PBE level.

Summary:
Density   7364 kg/m3
Raw total energy   -6.691 eV per atom
Magnetic moment   0.00 μB/atom
N(E_F)   3.02 states/eV per cell
Formation energy   -0.09 eV/atom

Cell and atoms, written as CIF:
```
data_YAl2Re
_cell_length_a 3.571
_cell_length_b 4.773
_cell_length_c 8.707
_cell_angle_alpha 90.00
_cell_angle_beta 90.00
_cell_angle_gamma 90.00
_space_group_name_H-M_alt 'I m m m'
_space_group_IT_number 71
_space_group_name_Hall '-I 2 2'
loop_
_atom_site_label
_atom_site_type_symbol
_atom_site_fract_x
_atom_site_fract_y
_atom_site_fract_z
Y1 Y 0.000 0.000 0.000
Al1 Al 0.000 0.500 0.227
Re1 Re 0.000 0.000 0.500
```



Record 4
Below is an optimized crystal structure of YAlRe2, with properties calculated at the PBE level.

Summary:
Density   9656 kg/m3
Raw total energy   -8.330 eV per atom
Magnetic moment   0.00 μB/atom
N(E_F)   9.86 states/eV per cell
Formation energy   0.45 eV/atom

Cell and atoms, written as CIF:
```
data_YAlRe2
_cell_length_a 4.250
_cell_length_b 4.250
_cell_length_c 18.598
_cell_angle_alpha 90.00
_cell_angle_beta 90.00
_cell_angle_gamma 90.00
_space_group_name_H-M_alt 'I -4 2 d'
_space_group_IT_number 122
_space_group_name_Hall 'I -4 2bw'
loop_
_atom_site_label
_atom_site_type_symbol
_atom_site_fract_x
_atom_site_fract_y
_atom_site_fract_z
Y1 Y 0.000 0.000 0.000
Al1 Al 0.000 0.000 0.500
Re1 Re 0.144 0.250 0.625
```



Record 5
Below is an optimized crystal structure of YAl3Re, with properties calculated at the PBE level.

Summary:
Density   5502 kg/m3
Raw total energy   -6.127 eV per atom
Magnetic moment   0.00 μB/atom
N(E_F)   1.55 states/eV per cell
Formation energy   -0.10 eV/atom

Cell and atoms, written as CIF:
```
data_YAl3Re
_cell_length_a 4.754
_cell_length_b 4.754
_cell_length_c 4.754
_cell_angle_alpha 90.00
_cell_angle_beta 90.00
_cell_angle_gamma 90.00
_space_group_name_H-M_alt 'P m -3 m'
_space_group_IT_number 221
_space_group_name_Hall '-P 4 2 3'
loop_
_atom_site_label
_atom_site_type_symbol
_atom_site_fract_x
_atom_site_fract_y
_atom_site_fract_z
Y1 Y 0.000 0.000 0.000
Al1 Al 0.000 0.500 0.500
Re1 Re 0.500 0.500 0.500
```



Record 6
Below is an optimized crystal structure of YAlRe3, with properties calculated at the PBE level.

Summary:
Density   11679 kg/m3
Raw total energy   -8.318 eV per atom
Magnetic moment   0.00 μB/atom
N(E_F)   7.75 states/eV per cell
Formation energy   1.19 eV/atom

Cell and atoms, written as CIF:
```
data_YAlRe3
_cell_length_a 4.577
_cell_length_b 4.577
_cell_length_c 4.577
_cell_angle_alpha 90.00
_cell_angle_beta 90.00
_cell_angle_gamma 90.00
_space_group_name_H-M_alt 'P m -3 m'
_space_group_IT_number 221
_space_group_name_Hall '-P 4 2 3'
loop_
_atom_site_label
_atom_site_type_symbol
_atom_site_fract_x
_atom_site_fract_y
_atom_site_fract_z
Y1 Y 0.000 0.000 0.000
Al1 Al 0.500 0.500 0.500
Re1 Re 0.000 0.500 0.500
```



Record 7
Below is an optimized crystal structure of YAl2Re, with properties calculated at the PBE level.

Summary:
Density   7064 kg/m3
Raw total energy   -6.827 eV per atom
Magnetic moment   0.00 μB/atom
N(E_F)   3.00 states/eV per cell
Formation energy   -0.23 eV/atom

Cell and atoms, written as CIF:
```
data_YAl2Re
_cell_length_a 8.693
_cell_length_b 3.609
_cell_length_c 5.197
_cell_angle_alpha 90.00
_cell_angle_beta 108.41
_cell_angle_gamma 90.00
_space_group_name_H-M_alt 'C 1 2/m 1'
_space_group_IT_number 12
_space_group_name_Hall '-C 2y'
loop_
_atom_site_label
_atom_site_type_symbol
_atom_site_fract_x
_atom_site_fract_y
_atom_site_fract_z
Y1 Y 0.000 0.000 0.000
Al1 Al 0.226 0.000 0.661
Re1 Re 0.000 0.500 0.500
```



Record 8
Below is an optimized crystal structure of YAlRe2, with properties calculated at the PBE level.

Summary:
Density   11555 kg/m3
Raw total energy   -8.490 eV per atom
Magnetic moment   0.00 μB/atom
N(E_F)   3.10 states/eV per cell
Formation energy   0.29 eV/atom

Cell and atoms, written as CIF:
```
data_YAlRe2
_cell_length_a 3.995
_cell_length_b 3.995
_cell_length_c 4.397
_cell_angle_alpha 90.00
_cell_angle_beta 90.00
_cell_angle_gamma 90.00
_space_group_name_H-M_alt 'P 4/m m m'
_space_group_IT_number 123
_space_group_name_Hall '-P 4 2'
loop_
_atom_site_label
_atom_site_type_symbol
_atom_site_fract_x
_atom_site_fract_y
_atom_site_fract_z
Y1 Y 0.000 0.000 0.000
Al1 Al 0.500 0.500 0.000
Re1 Re 0.000 0.500 0.500
```



Record 9
Below is an optimized crystal structure of YAl2Re, with properties calculated at the PBE level.

Summary:
Density   7147 kg/m3
Raw total energy   -6.711 eV per atom
Magnetic moment   0.00 μB/atom
N(E_F)   1.90 states/eV per cell
Formation energy   -0.11 eV/atom

Cell and atoms, written as CIF:
```
data_YAl2Re
_cell_length_a 3.360
_cell_length_b 3.360
_cell_length_c 6.772
_cell_angle_alpha 90.00
_cell_angle_beta 90.00
_cell_angle_gamma 90.00
_space_group_name_H-M_alt 'P 4 m m'
_space_group_IT_number 99
_space_group_name_Hall 'P 4 -2'
loop_
_atom_site_label
_atom_site_type_symbol
_atom_site_fract_x
_atom_site_fract_y
_atom_site_fract_z
Y1 Y 0.000 0.000 0.000
Al1 Al 0.000 0.000 0.557
Al2 Al 0.500 0.500 0.340
Re1 Re 0.500 0.500 0.724
```



Record 10
Below is an optimized crystal structure of YAl10Re2, with properties calculated at the PBE level.

Summary:
Density   5603 kg/m3
Raw total energy   -5.649 eV per atom
Magnetic moment   0.00 μB/atom
N(E_F)   51.92 states/eV per cell
Formation energy   -0.36 eV/atom

Cell and atoms, written as CIF:
```
data_YAl10Re2
_cell_length_a 9.314
_cell_length_b 10.343
_cell_length_c 26.991
_cell_angle_alpha 90.00
_cell_angle_beta 90.00
_cell_angle_gamma 90.00
_space_group_name_H-M_alt 'C m c m'
_space_group_IT_number 63
_space_group_name_Hall '-C 2c 2'
loop_
_atom_site_label
_atom_site_type_symbol
_atom_site_fract_x
_atom_site_fract_y
_atom_site_fract_z
Y1 Y 0.000 0.119 0.250
Y2 Y 0.000 0.375 0.085
Al1 Al 0.000 0.095 0.133
Al2 Al 0.000 0.122 0.022
Al3 Al 0.000 0.130 0.678
Al4 Al 0.000 0.334 0.534
Al5 Al 0.000 0.374 0.646
Al6 Al 0.000 0.409 0.200
Al7 Al 0.149 0.387 0.750
Al8 Al 0.150 0.122 0.581
Al9 Al 0.206 0.500 0.000
Al10 Al 0.212 0.111 0.750
Al11 Al 0.220 0.248 0.171
Al12 Al 0.249 0.128 0.083
Re1 Re 0.248 0.003 0.663
Re2 Re 0.250 0.250 0.000
```



Record 11
Below is an optimized crystal structure of YAlRe2, with properties calculated at the PBE level.

Summary:
Density   11610 kg/m3
Raw total energy   -8.467 eV per atom
Magnetic moment   0.00 μB/atom
N(E_F)   7.63 states/eV per cell
Formation energy   0.31 eV/atom

Cell and atoms, written as CIF:
```
data_YAlRe2
_cell_length_a 3.259
_cell_length_b 4.706
_cell_length_c 9.108
_cell_angle_alpha 90.00
_cell_angle_beta 90.00
_cell_angle_gamma 90.00
_space_group_name_H-M_alt 'I m m m'
_space_group_IT_number 71
_space_group_name_Hall '-I 2 2'
loop_
_atom_site_label
_atom_site_type_symbol
_atom_site_fract_x
_atom_site_fract_y
_atom_site_fract_z
Y1 Y 0.000 0.000 0.000
Al1 Al 0.000 0.000 0.500
Re1 Re 0.000 0.500 0.242
```



Record 12
Below is an optimized crystal structure of YAlRe2, with properties calculated at the PBE level.

Summary:
Density   11752 kg/m3
Raw total energy   -8.481 eV per atom
Magnetic moment   0.00 μB/atom
N(E_F)   6.28 states/eV per cell
Formation energy   0.29 eV/atom

Cell and atoms, written as CIF:
```
data_YAlRe2
_cell_length_a 5.693
_cell_length_b 9.266
_cell_length_c 2.809
_cell_angle_alpha 90.00
_cell_angle_beta 111.39
_cell_angle_gamma 90.00
_space_group_name_H-M_alt 'C 1 2/m 1'
_space_group_IT_number 12
_space_group_name_Hall '-C 2y'
loop_
_atom_site_label
_atom_site_type_symbol
_atom_site_fract_x
_atom_site_fract_y
_atom_site_fract_z
Y1 Y 0.000 0.000 0.000
Al1 Al 0.000 0.500 0.000
Re1 Re 0.250 0.250 0.500
```



Record 13
Below is an optimized crystal structure of YAl2Re, with properties calculated at the PBE level.

Summary:
Density   7486 kg/m3
Raw total energy   -6.599 eV per atom
Magnetic moment   0.00 μB/atom
N(E_F)   2.54 states/eV per cell
Formation energy   0.00 eV/atom

Cell and atoms, written as CIF:
```
data_YAl2Re
_cell_length_a 4.090
_cell_length_b 4.090
_cell_length_c 4.364
_cell_angle_alpha 90.00
_cell_angle_beta 90.00
_cell_angle_gamma 90.00
_space_group_name_H-M_alt 'P 4/m m m'
_space_group_IT_number 123
_space_group_name_Hall '-P 4 2'
loop_
_atom_site_label
_atom_site_type_symbol
_atom_site_fract_x
_atom_site_fract_y
_atom_site_fract_z
Y1 Y 0.000 0.000 0.000
Al1 Al 0.000 0.500 0.500
Re1 Re 0.500 0.500 0.000
```